Entry 1:
DFT (PBE-GGA) results for a relaxed AcHoAsO crystal.

Computed properties:
symmetry	No. 26
magnetic moment	0.23	μB/atom
electronic total energy	-6.61	eV per atom

Cell and atoms, written as extended XYZ:
```
8
Lattice="4.396 0.000 0.000 0.000 5.729 0.000 0.000 0.000 7.700" Properties=species:S:1:pos:R:3 pbc="T T T"
Ac 2.198 2.213 0.760
Ac 2.198 3.516 4.610
As 0.000 3.881 2.300
As 0.000 1.848 6.150
Ho 0.000 0.815 3.405
Ho 0.000 4.914 7.254
O 2.198 1.288 3.190
O 2.198 4.441 7.040
```



Entry 2:
DFT (PBE-GGA) results for a relaxed NaZr crystal.

Computed properties:
symmetry	No. 51
magnetic moment	0.01	μB/atom
electronic total energy	-4.32	eV per atom

Cell and atoms, written as extended XYZ:
```
4
Lattice="6.473 0.000 0.000 0.000 2.897 0.000 0.000 0.000 5.390" Properties=species:S:1:pos:R:3 pbc="T T T"
Na 3.552 1.449 0.000
Na 5.079 1.449 2.695
Zr 0.494 0.000 0.000
Zr 1.664 0.000 2.695
```



Entry 3:
DFT (PBE-GGA) results for a relaxed CdBiAs2 crystal.

Computed properties:
symmetry	No. 216
electronic total energy	-3.24	eV per atom

Cell and atoms, written as extended XYZ:
```
4
Lattice="-0.447 -4.601 -2.136 -3.020 -3.510 2.121 -4.350 -1.334 -2.287" Properties=species:S:1:pos:R:3 pbc="T T T"
As 0.000 0.000 0.000
As -1.954 -2.361 -0.576
Bi -5.863 -7.084 -1.727
Cd -3.909 -4.722 -1.152
```



Entry 4:
DFT (PBE-GGA) results for a relaxed LiZn3 crystal.

Computed properties:
symmetry	No. 63
electronic total energy	-1.59	eV per atom

Cell and atoms, written as extended XYZ:
```
8
Lattice="-2.332 4.719 -1.334 -2.459 -4.694 -1.233 -2.051 0.069 3.828" Properties=species:S:1:pos:R:3 pbc="T T T"
Li 0.000 0.000 0.000
Li -3.442 -1.521 0.647
Zn -1.241 -2.339 -0.623
Zn -2.396 -0.002 -1.284
Zn -3.613 -2.326 -1.894
Zn -3.378 3.200 0.597
Zn -2.201 0.818 1.270
Zn -4.620 0.831 -0.026
```



Entry 5:
DFT (PBE-GGA) results for a relaxed CsErPt crystal.

Computed properties:
symmetry	No. 216
magnetic moment	0.00	μB/atom
electronic total energy	-3.69	eV per atom

Cell and atoms, written as extended XYZ:
```
3
Lattice="0.983 1.544 4.834 -3.022 3.541 2.248 -3.168 -1.373 3.847" Properties=species:S:1:pos:R:3 pbc="T T T"
Cs -1.302 0.928 2.732
Er -3.905 2.784 8.196
Pt 0.000 0.000 0.000
```



Entry 6:
DFT (PBE-GGA) results for a relaxed SrLaPd crystal.

Computed properties:
symmetry	No. 216
magnetic moment	0.00	μB/atom
electronic total energy	-4.30	eV per atom

Cell and atoms, written as extended XYZ:
```
3
Lattice="3.206 -3.341 2.311 -1.455 -4.916 0.704 2.224 -3.776 -2.752" Properties=species:S:1:pos:R:3 pbc="T T T"
La 0.994 -3.008 0.066
Pd 0.000 0.000 0.000
Sr 2.982 -9.025 0.197
```



Entry 7:
DFT (PBE-GGA) results for a relaxed MgAu crystal.

Computed properties:
symmetry	No. 26
electronic total energy	-2.87	eV per atom

Cell and atoms, written as extended XYZ:
```
12
Lattice="-0.451 5.140 0.368 -7.338 -0.977 4.645 2.567 -0.064 4.041" Properties=species:S:1:pos:R:3 pbc="T T T"
Au -1.375 2.328 0.911
Au -5.401 4.392 3.500
Au -0.132 4.205 2.987
Au -1.419 1.357 3.759
Au -2.657 3.792 4.585
Au -3.958 1.096 5.368
Mg -0.462 5.022 0.374
Mg -2.445 -0.316 1.548
Mg -3.897 2.090 2.508
Mg -6.309 1.645 4.034
Mg 0.930 1.741 2.273
Mg -5.019 3.549 6.081
```



Entry 8:
DFT (PBE-GGA) results for a relaxed Tb2Ir5C4 crystal.

Computed properties:
symmetry	No. 69
magnetic moment	0.00	μB/atom
electronic total energy	-8.02	eV per atom

Cell and atoms, written as extended XYZ:
```
11
Lattice="4.607 -2.235 5.424 -0.655 -4.292 4.267 4.857 -3.052 -0.603" Properties=species:S:1:pos:R:3 pbc="T T T"
C 2.764 -5.099 5.819
C 3.003 -4.181 3.102
C 5.806 -5.397 5.986
C 6.045 -4.480 3.269
Ir 1.976 -3.263 4.846
Ir 2.202 -2.395 2.272
Ir 2.428 -1.526 -0.302
Ir 4.404 -4.789 4.544
Ir 6.607 -7.184 6.816
Tb 4.092 -5.988 8.095
Tb 4.716 -3.590 0.992
```



Entry 9:
DFT (PBE-GGA) results for a relaxed PrNd2AlCl3 crystal.

Computed properties:
symmetry	No. 123
magnetic moment	0.00	μB/atom
electronic total energy	-4.81	eV per atom

Cell and atoms, written as extended XYZ:
```
7
Lattice="5.867 0.000 0.000 0.000 5.867 0.000 0.000 0.000 5.874" Properties=species:S:1:pos:R:3 pbc="T T T"
Al 0.000 0.000 2.937
Cl 2.934 0.000 0.000
Cl 0.000 2.934 0.000
Cl 2.934 2.934 2.937
Nd 2.934 0.000 2.937
Nd 0.000 2.934 2.937
Pr 0.000 0.000 0.000
```



Entry 10:
DFT (PBE-GGA) results for a relaxed YHfCuSn crystal.

Computed properties:
symmetry	No. 216
magnetic moment	0.39	μB/atom
electronic total energy	-5.81	eV per atom

Cell and atoms, written as extended XYZ:
```
4
Lattice="0.000 3.524 3.524 3.524 0.000 3.524 3.524 3.524 0.000" Properties=species:S:1:pos:R:3 pbc="T T T"
Cu 5.287 5.287 5.287
Hf 1.762 1.762 1.762
Sn 0.000 0.000 0.000
Y 3.524 3.524 3.524
```



Entry 11:
DFT (PBE-GGA) results for a relaxed Ta2ReW crystal.

Computed properties:
symmetry	No. 225
magnetic moment	0.00	μB/atom
E_form	-0.274	eV per atom
electronic total energy	-12.55	eV per atom

Cell and atoms, written as extended XYZ:
```
24
Lattice="4.551 0.000 0.000 0.000 6.436 0.000 0.000 0.000 13.657" Properties=species:S:1:pos:R:3 pbc="T T T"
Re 0.000 0.000 0.000
Re 2.275 3.218 2.276
Re 0.000 0.000 4.553
Re 2.275 3.218 6.829
Re 0.000 0.000 9.105
Re 2.275 3.218 11.381
Ta 2.275 1.609 0.000
Ta 2.275 4.827 0.000
Ta 0.000 1.609 2.276
Ta 0.000 4.827 2.276
Ta 2.275 1.609 4.553
Ta 2.275 4.827 4.553
Ta 0.000 1.609 6.829
Ta 0.000 4.827 6.829
Ta 2.276 1.609 9.105
Ta 2.276 4.827 9.105
Ta 0.000 1.609 11.381
Ta 0.000 4.827 11.381
W 0.000 3.218 0.000
W 2.275 0.000 2.276
W 0.000 3.218 4.552
W 2.275 0.000 6.829
W 0.000 3.218 9.105
W 2.276 0.000 11.381
```



Entry 12:
DFT (PBE-GGA) results for a relaxed ZrBrCl2 crystal.

Computed properties:
symmetry	No. 40
magnetic moment	0.00	μB/atom
electronic total energy	-5.09	eV per atom

Cell and atoms, written as extended XYZ:
```
8
Lattice="6.116 0.000 0.000 0.000 3.334 5.883 0.000 -3.334 5.883" Properties=species:S:1:pos:R:3 pbc="T T T"
Br 1.529 2.195 3.986
Br 4.587 -2.195 3.986
Cl 4.587 1.014 1.815
Cl 1.529 -1.014 1.815
Cl 4.587 1.277 5.951
Cl 1.529 -1.277 5.951
Zr 0.000 0.000 0.015
Zr 3.058 0.000 0.015
```



Entry 13:
DFT (PBE-GGA) results for a relaxed AcFe crystal.

Computed properties:
symmetry	No. 225
magnetic moment	0.87	μB/atom
E_form	0.690	eV per atom
electronic total energy	-5.52	eV per atom

Cell and atoms, written as extended XYZ:
```
2
Lattice="3.839 -1.886 -0.336 2.082 -1.270 3.530 0.417 -4.184 0.856" Properties=species:S:1:pos:R:3 pbc="T T T"
Ac 0.000 0.000 0.000
Fe 3.170 -3.670 2.025
```



Entry 14:
DFT (PBE-GGA) results for a relaxed GdY2Ga3AgPt2 crystal.

Computed properties:
symmetry	No. 38
magnetic moment	0.00	μB/atom
electronic total energy	-5.51	eV per atom

Cell and atoms, written as extended XYZ:
```
9
Lattice="3.749 0.000 0.000 0.000 6.531 3.764 0.000 -6.531 3.764" Properties=species:S:1:pos:R:3 pbc="T T T"
Ag 0.000 0.000 0.003
Ga 1.874 4.760 2.749
Ga 1.874 0.000 2.030
Ga 1.874 -4.760 2.749
Gd 0.000 0.000 4.454
Pt 1.874 2.181 3.765
Pt 1.874 -2.181 3.765
Y 0.000 2.663 1.535
Y 0.000 -2.663 1.535
```



Entry 15:
DFT (PBE-GGA) results for a relaxed Li2BeAs2Ir crystal.

Computed properties:
symmetry	No. 115
magnetic moment	0.00	μB/atom
electronic total energy	-4.70	eV per atom

Cell and atoms, written as extended XYZ:
```
6
Lattice="-1.329 0.748 3.346 1.860 -2.857 1.377 5.115 3.890 1.162" Properties=species:S:1:pos:R:3 pbc="T T T"
As 2.251 -0.424 0.989
As 3.130 3.260 2.535
Be 0.000 0.000 0.000
Ir 0.266 -1.055 2.362
Li 1.046 1.675 2.062
Li 4.335 1.161 1.462
```



Entry 16:
DFT (PBE-GGA) results for a relaxed La3Mg2HgPt2Au crystal.

Computed properties:
symmetry	No. 38
magnetic moment	0.00	μB/atom
electronic total energy	-4.59	eV per atom

Cell and atoms, written as extended XYZ:
```
9
Lattice="4.135 0.000 0.000 0.000 6.671 3.916 0.000 -6.671 3.916" Properties=species:S:1:pos:R:3 pbc="T T T"
Au 0.000 0.000 0.219
Hg 2.068 0.000 5.895
La 0.000 0.000 3.345
La 0.000 2.709 6.169
La 0.000 -2.709 6.169
Mg 2.068 1.651 0.969
Mg 2.068 -1.651 0.969
Pt 2.068 2.328 3.795
Pt 2.068 -2.328 3.795
```



Entry 17:
DFT (PBE-GGA) results for a relaxed Zn4Pd3 crystal.

Computed properties:
symmetry	No. 176
E_form	-0.435	eV per atom
electronic total energy	-3.38	eV per atom

Cell and atoms, written as extended XYZ:
```
14
Lattice="4.763 5.500 0.000 -2.382 6.875 0.000 0.000 0.000 4.446" Properties=species:S:1:pos:R:3 pbc="T T T"
Pd -0.076 2.634 0.000
Pd 0.139 5.493 0.000
Pd 2.318 9.749 0.000
Pd 1.663 2.866 2.223
Pd 1.651 8.127 2.223
Pd -0.932 6.882 2.223
Zn 2.338 4.085 0.000
Zn 2.368 6.933 0.000
Zn 0.000 8.250 0.000
Zn -2.325 6.858 0.000
Zn 4.013 6.916 2.223
Zn 1.531 5.517 2.223
Zn -0.794 4.125 2.223
Zn 1.601 10.942 2.223
```



Entry 18:
DFT (PBE-GGA) results for a relaxed Sm3Cu4Pb4 crystal.

Computed properties:
symmetry	No. 71
magnetic moment	0.00	μB/atom
electronic total energy	-4.29	eV per atom

Cell and atoms, written as extended XYZ:
```
11
Lattice="-2.309 3.546 7.587 2.309 -3.546 7.587 2.309 3.546 -7.587" Properties=species:S:1:pos:R:3 pbc="T T T"
Cu 0.000 1.307 2.565
Cu 2.309 -2.239 5.022
Cu 0.000 5.785 2.565
Cu 2.309 2.239 5.022
Pb 0.000 2.077 0.000
Pb 0.000 3.546 4.297
Pb 2.309 0.000 3.290
Pb 0.000 5.015 0.000
Sm 0.000 0.000 5.576
Sm 0.000 0.000 9.598
Sm 2.309 0.000 0.000
```



Entry 19:
DFT (PBE-GGA) results for a relaxed CoBW2 crystal.

Computed properties:
symmetry	No. 216
magnetic moment	0.01	μB/atom
electronic total energy	-9.23	eV per atom

Cell and atoms, written as extended XYZ:
```
4
Lattice="-1.821 2.892 2.398 -1.226 3.625 -1.669 -4.069 0.822 -0.446" Properties=species:S:1:pos:R:3 pbc="T T T"
B -3.558 3.670 0.142
Co -1.779 1.835 0.071
W 0.000 0.000 0.000
W -5.337 5.505 0.212
```



Entry 20:
DFT (PBE-GGA) results for a relaxed Rb2H2Pt crystal.

Computed properties:
symmetry	No. 160
magnetic moment	0.00	μB/atom
electronic total energy	-3.25	eV per atom

Cell and atoms, written as extended XYZ:
```
5
Lattice="0.607 6.323 2.048 4.992 3.510 2.702 3.641 5.191 -2.085" Properties=species:S:1:pos:R:3 pbc="T T T"
H 2.899 4.714 0.836
H 4.633 7.533 1.336
Pt 3.765 6.122 1.086
Rb 1.436 2.336 0.414
Rb 6.127 9.963 1.768
```



Entry 21:
DFT (PBE-GGA) results for a relaxed Gd2B3Os2 crystal.

Computed properties:
symmetry	No. 65
magnetic moment	0.00	μB/atom
electronic total energy	-7.07	eV per atom

Cell and atoms, written as extended XYZ:
```
7
Lattice="1.454 -11.931 0.000 1.454 11.931 0.000 0.000 0.000 2.869" Properties=species:S:1:pos:R:3 pbc="T T T"
B 0.000 0.000 1.434
B 1.454 -9.523 1.434
B 1.454 9.523 1.434
Gd 1.454 -4.290 0.000
Gd 1.454 4.290 0.000
Os 1.454 -1.397 0.000
Os 1.454 1.397 0.000
```



Entry 22:
DFT (PBE-GGA) results for a relaxed Er5Sn4 crystal.

Computed properties:
symmetry	No. 193
magnetic moment	0.00	μB/atom
electronic total energy	-5.00	eV per atom

Cell and atoms, written as extended XYZ:
```
18
Lattice="9.250 0.000 0.000 -4.625 8.011 0.000 0.000 0.000 6.483" Properties=species:S:1:pos:R:3 pbc="T T T"
Er 4.625 2.670 0.000
Er 0.000 5.341 0.000
Er 2.513 0.000 1.621
Er -1.256 2.176 1.621
Er 3.369 5.835 1.621
Er 4.625 2.670 3.241
Er 0.000 5.341 3.241
Er 6.738 0.000 4.862
Er 1.256 2.176 4.862
Er -3.369 5.835 4.862
Sn 0.000 0.000 0.000
Sn 5.672 0.000 1.621
Sn 1.789 3.099 1.621
Sn -2.836 4.912 1.621
Sn 0.000 0.000 3.241
Sn 3.578 0.000 4.862
Sn -1.789 3.099 4.862
Sn 2.836 4.912 4.862
```



Entry 23:
DFT (PBE-GGA) results for a relaxed CsCoPdSe3 crystal.

Computed properties:
symmetry	No. 63
magnetic moment	0.32	μB/atom
electronic total energy	-4.38	eV per atom

Cell and atoms, written as extended XYZ:
```
12
Lattice="0.372 7.745 -2.410 -3.985 -6.970 1.206 -2.541 3.120 9.633" Properties=species:S:1:pos:R:3 pbc="T T T"
Co -4.466 -5.668 3.486
Co -1.689 9.561 4.943
Cs -1.322 4.949 0.877
Cs -4.832 -1.055 7.552
Pd -1.807 0.387 -0.602
Pd -3.077 1.947 4.215
Se -3.668 -5.289 1.336
Se -2.649 0.468 1.978
Se -4.673 -4.055 5.147
Se -1.481 7.948 3.282
Se -3.505 3.426 6.451
Se -2.486 9.183 7.093
```